# 1
# FePt2Br, optimized geometry, DFT PBE
data_FePt2Br
_cell_length_a 9.230
_cell_length_b 9.230
_cell_length_c 9.230
_cell_angle_alpha 18.33
_cell_angle_beta 18.33
_cell_angle_gamma 18.33
_symmetry_space_group_name_H-M 'P 1'
_symmetry_Int_Tables_number 1
loop_
_symmetry_equiv_pos_as_xyz
'x,y,z'
loop_
_atom_site_label
_atom_site_type_symbol
_atom_site_fract_x
_atom_site_fract_y
_atom_site_fract_z
Br1 Br 0.483 0.483 0.483
Fe1 Fe 0.748 0.748 0.748
Pt1 Pt 0.009 0.009 0.009
Pt2 Pt 0.259 0.259 0.259
# * uncorrected formation energy: 279 meV per atom
# * E: -21.10 eV for the cell shown
# * symmetry: No. 160



# 2
# LiSnS2, optimized geometry, DFT PBE
data_LiSnS2
_cell_length_a 3.776
_cell_length_b 3.776
_cell_length_c 6.491
_cell_angle_alpha 90.00
_cell_angle_beta 90.00
_cell_angle_gamma 120.00
_symmetry_space_group_name_H-M 'P 1'
_symmetry_Int_Tables_number 1
loop_
_symmetry_equiv_pos_as_xyz
'x,y,z'
loop_
_atom_site_label
_atom_site_type_symbol
_atom_site_fract_x
_atom_site_fract_y
_atom_site_fract_z
S1 S 0.333 0.667 0.256
S2 S 0.667 0.333 0.744
Sn1 Sn 0.000 0.000 0.000
Li1 Li 0.000 0.000 0.500
# * uncorrected formation energy: -674 meV per atom
# * E: -16.87 eV for the cell shown
# * symmetry: No. 164



# 3
# DyGa4CoPt2, optimized geometry, DFT PBE
data_DyGa4CoPt2
_cell_length_a 4.242
_cell_length_b 4.242
_cell_length_c 8.859
_cell_angle_alpha 76.15
_cell_angle_beta 76.15
_cell_angle_gamma 60.00
_symmetry_space_group_name_H-M 'P 1'
_symmetry_Int_Tables_number 1
loop_
_symmetry_equiv_pos_as_xyz
'x,y,z'
loop_
_atom_site_label
_atom_site_type_symbol
_atom_site_fract_x
_atom_site_fract_y
_atom_site_fract_z
Dy1 Dy 0.000 0.000 0.000
Ga1 Ga 0.399 0.399 0.803
Ga2 Ga 0.865 0.865 0.405
Ga3 Ga 0.135 0.135 0.595
Ga4 Ga 0.601 0.601 0.197
Co1 Co 0.500 0.500 0.500
Pt1 Pt 0.761 0.761 0.716
Pt2 Pt 0.239 0.239 0.284
# * E: -40.77 eV for the cell shown
# * symmetry: No. 166
# * formation energy: -0.61 eV per atom



# 4
# NaSrTl3Pb, optimized geometry, DFT PBE
data_NaSrTl3Pb
_cell_length_a 5.007
_cell_length_b 7.930
_cell_length_c 10.759
_cell_angle_alpha 119.06
_cell_angle_beta 90.00
_cell_angle_gamma 90.00
_symmetry_space_group_name_H-M 'P 1'
_symmetry_Int_Tables_number 1
loop_
_symmetry_equiv_pos_as_xyz
'x,y,z'
loop_
_atom_site_label
_atom_site_type_symbol
_atom_site_fract_x
_atom_site_fract_y
_atom_site_fract_z
Na1 Na 0.250 0.613 0.114
Na2 Na 0.750 0.387 0.886
Sr1 Sr 0.250 0.160 0.312
Sr2 Sr 0.750 0.840 0.688
Tl1 Tl 0.750 0.878 0.040
Tl2 Tl 0.250 0.122 0.960
Tl3 Tl 0.250 0.652 0.429
Tl4 Tl 0.750 0.348 0.571
Tl5 Tl 0.750 0.371 0.193
Tl6 Tl 0.250 0.629 0.807
Pb1 Pb 0.250 0.136 0.646
Pb2 Pb 0.750 0.864 0.354
# * E: -30.12 eV for the cell shown
# * symmetry: No. 11
# * formation energy: -0.21 eV per atom



# 5
# Mg2FeRu2, optimized geometry, DFT PBE
data_Mg2FeRu2
_cell_length_a 3.586
_cell_length_b 3.586
_cell_length_c 6.996
_cell_angle_alpha 75.15
_cell_angle_beta 75.15
_cell_angle_gamma 90.00
_symmetry_space_group_name_H-M 'P 1'
_symmetry_Int_Tables_number 1
loop_
_symmetry_equiv_pos_as_xyz
'x,y,z'
loop_
_atom_site_label
_atom_site_type_symbol
_atom_site_fract_x
_atom_site_fract_y
_atom_site_fract_z
Ru1 Ru 0.406 0.406 0.188
Ru2 Ru 0.594 0.594 0.812
Mg1 Mg 0.750 0.250 0.500
Mg2 Mg 0.250 0.750 0.500
Fe1 Fe 0.000 0.000 0.000
# * E: -26.29 eV for the cell shown
# * symmetry: No. 139
# * formation energy: 0.78 eV per atom



# 6
# SmGd2Pb, optimized geometry, DFT PBE
data_SmGd2Pb
_cell_length_a 4.223
_cell_length_b 4.223
_cell_length_c 6.912
_cell_angle_alpha 90.00
_cell_angle_beta 90.00
_cell_angle_gamma 90.00
_symmetry_space_group_name_H-M 'P 1'
_symmetry_Int_Tables_number 1
loop_
_symmetry_equiv_pos_as_xyz
'x,y,z'
loop_
_atom_site_label
_atom_site_type_symbol
_atom_site_fract_x
_atom_site_fract_y
_atom_site_fract_z
Pb1 Pb 0.500 0.500 0.500
Gd1 Gd 0.000 0.000 0.729
Gd2 Gd 0.000 0.000 0.271
Sm1 Sm 0.500 0.500 0.000
# * E: -37.52 eV for the cell shown
# * symmetry: No. 123
# * formation energy: -0.23 eV per atom



# 7
# Tb5ErSi4, optimized geometry, DFT PBE
data_Tb5ErSi4
_cell_length_a 4.919
_cell_length_b 6.806
_cell_length_c 10.440
_cell_angle_alpha 130.47
_cell_angle_beta 103.63
_cell_angle_gamma 90.00
_symmetry_space_group_name_H-M 'P 1'
_symmetry_Int_Tables_number 1
loop_
_symmetry_equiv_pos_as_xyz
'x,y,z'
loop_
_atom_site_label
_atom_site_type_symbol
_atom_site_fract_x
_atom_site_fract_y
_atom_site_fract_z
Tb1 Tb 0.835 0.676 0.670
Tb2 Tb 0.835 0.166 0.670
Tb3 Tb 0.165 0.834 0.330
Tb4 Tb 0.500 0.500 0.000
Tb5 Tb 0.165 0.324 0.330
Er1 Er 0.500 0.000 0.000
Si1 Si 0.323 0.896 0.647
Si2 Si 0.991 0.736 0.983
Si3 Si 0.677 0.104 0.353
Si4 Si 0.009 0.264 0.017
# * uncorrected formation energy: -530 meV per atom
# * E: -54.71 eV for the cell shown
# * symmetry: No. 12



# 8
# PmPr4Ga2, optimized geometry, DFT PBE
data_PmPr4Ga2
_cell_length_a 5.123
_cell_length_b 5.123
_cell_length_c 10.692
_cell_angle_alpha 76.14
_cell_angle_beta 76.14
_cell_angle_gamma 60.00
_symmetry_space_group_name_H-M 'P 1'
_symmetry_Int_Tables_number 1
loop_
_symmetry_equiv_pos_as_xyz
'x,y,z'
loop_
_atom_site_label
_atom_site_type_symbol
_atom_site_fract_x
_atom_site_fract_y
_atom_site_fract_z
Pm1 Pm 0.500 0.500 0.500
Pr1 Pr 0.702 0.702 0.894
Pr2 Pr 0.896 0.896 0.311
Pr3 Pr 0.298 0.298 0.106
Pr4 Pr 0.104 0.104 0.689
Ga1 Ga 0.599 0.599 0.203
Ga2 Ga 0.401 0.401 0.797
# * E: -30.59 eV for the cell shown
# * symmetry: No. 166
# * formation energy: -0.09 eV per atom



# 9
# CsAgCl, optimized geometry, DFT PBE
data_CsAgCl
_cell_length_a 12.652
_cell_length_b 5.733
_cell_length_c 5.733
_cell_angle_alpha 90.00
_cell_angle_beta 102.78
_cell_angle_gamma 90.00
_symmetry_space_group_name_H-M 'P 1'
_symmetry_Int_Tables_number 1
loop_
_symmetry_equiv_pos_as_xyz
'x,y,z'
loop_
_atom_site_label
_atom_site_type_symbol
_atom_site_fract_x
_atom_site_fract_y
_atom_site_fract_z
Cs1 Cs 0.676 0.000 0.548
Cs2 Cs 0.676 0.500 0.048
Cs3 Cs 0.328 0.000 0.379
Cs4 Cs 0.328 0.500 0.879
Ag1 Ag 0.976 0.000 0.694
Ag2 Ag 0.976 0.500 0.194
Ag3 Ag 0.933 0.000 0.173
Ag4 Ag 0.933 0.500 0.673
Cl1 Cl 0.188 0.000 0.810
Cl2 Cl 0.188 0.500 0.310
Cl3 Cl 0.529 0.000 0.976
Cl4 Cl 0.529 0.500 0.476
# * uncorrected formation energy: -951 meV per atom
# * E: -33.62 eV for the cell shown
# * symmetry: No. 8



# 10
# TcBS2N, optimized geometry, DFT PBE
data_TcBS2N
_cell_length_a 4.762
_cell_length_b 4.762
_cell_length_c 3.695
_cell_angle_alpha 90.00
_cell_angle_beta 90.00
_cell_angle_gamma 90.00
_symmetry_space_group_name_H-M 'P 1'
_symmetry_Int_Tables_number 1
loop_
_symmetry_equiv_pos_as_xyz
'x,y,z'
loop_
_atom_site_label
_atom_site_type_symbol
_atom_site_fract_x
_atom_site_fract_y
_atom_site_fract_z
S1 S 0.000 0.500 0.000
S2 S 0.500 0.000 0.000
B1 B 0.500 0.500 0.500
Tc1 Tc 0.000 0.000 0.000
N1 N 0.000 0.000 0.500
# * uncorrected formation energy: 1144 meV per atom
# * E: -27.90 eV for the cell shown
# * symmetry: No. 123



# 11
# K5RbZn4Sn5S17, optimized geometry, DFT PBE
data_K5RbZn4Sn5S17
_cell_length_a 9.715
_cell_length_b 11.042
_cell_length_c 11.026
_cell_angle_alpha 78.77
_cell_angle_beta 63.92
_cell_angle_gamma 63.85
_symmetry_space_group_name_H-M 'P 1'
_symmetry_Int_Tables_number 1
loop_
_symmetry_equiv_pos_as_xyz
'x,y,z'
loop_
_atom_site_label
_atom_site_type_symbol
_atom_site_fract_x
_atom_site_fract_y
_atom_site_fract_z
S1 S 0.660 0.519 0.221
S2 S 0.386 0.783 0.504
S3 S 0.247 0.504 0.499
S4 S 0.516 0.237 0.206
S5 S 0.956 0.772 0.792
S6 S 0.246 0.797 0.230
S7 S 0.829 0.499 0.778
S8 S 0.112 0.227 0.484
S9 S 0.819 0.782 0.514
S10 S 0.102 0.509 0.220
S11 S 0.877 0.127 0.839
S12 S 0.840 0.881 0.158
S13 S 0.286 0.843 0.873
S14 S 0.999 0.165 0.125
S15 S 0.397 0.489 0.777
S16 S 0.670 0.225 0.494
S17 S 0.271 0.211 0.768
K1 K 0.017 0.484 0.977
K2 K 0.496 0.026 0.483
K3 K 0.475 0.526 0.021
K4 K 0.003 0.983 0.514
K5 K 0.747 0.504 0.499
Zn1 Zn 0.382 0.647 0.367
Zn2 Zn 0.970 0.636 0.642
Zn3 Zn 0.244 0.372 0.356
Zn4 Zn 0.392 0.362 0.631
Rb1 Rb 0.544 0.009 0.995
Sn1 Sn 0.004 0.004 0.999
Sn2 Sn 0.246 0.721 0.731
Sn3 Sn 0.695 0.288 0.267
Sn4 Sn 0.034 0.273 0.715
Sn5 Sn 0.017 0.735 0.284
# * uncorrected formation energy: -819 meV per atom
# * E: -127.93 eV for the cell shown
# * symmetry: No. 1



# 12
# NpAgAu, optimized geometry, DFT PBE
data_NpAgAu
_cell_length_a 2.896
_cell_length_b 6.196
_cell_length_c 13.063
_cell_angle_alpha 141.16
_cell_angle_beta 123.86
_cell_angle_gamma 61.95
_symmetry_space_group_name_H-M 'P 1'
_symmetry_Int_Tables_number 1
loop_
_symmetry_equiv_pos_as_xyz
'x,y,z'
loop_
_atom_site_label
_atom_site_type_symbol
_atom_site_fract_x
_atom_site_fract_y
_atom_site_fract_z
Np1 Np 0.288 0.544 0.634
Np2 Np 0.712 0.456 0.366
Au1 Au 0.642 0.862 0.302
Au2 Au 0.358 0.138 0.698
Ag1 Ag 0.985 0.757 0.997
Ag2 Ag 0.015 0.243 0.003
# * E: -37.89 eV for the cell shown
# * symmetry: No. 2
# * formation energy: 0.04 eV per atom



# 13
# Tb3Nd2In3, optimized geometry, DFT PBE
data_Tb3Nd2In3
_cell_length_a 4.942
_cell_length_b 5.001
_cell_length_c 9.304
_cell_angle_alpha 90.00
_cell_angle_beta 90.00
_cell_angle_gamma 90.00
_symmetry_space_group_name_H-M 'P 1'
_symmetry_Int_Tables_number 1
loop_
_symmetry_equiv_pos_as_xyz
'x,y,z'
loop_
_atom_site_label
_atom_site_type_symbol
_atom_site_fract_x
_atom_site_fract_y
_atom_site_fract_z
Tb1 Tb 0.500 0.500 0.731
Tb2 Tb 0.500 0.500 0.269
Tb3 Tb 0.500 0.000 0.000
Nd1 Nd 0.000 0.000 0.742
Nd2 Nd 0.000 0.000 0.258
In1 In 0.500 0.000 0.500
In2 In 0.000 0.500 0.000
In3 In 0.000 0.500 0.500
# * E: -34.48 eV for the cell shown
# * symmetry: No. 47
# * formation energy: -0.35 eV per atom



# 14
# DyThMgCu, optimized geometry, DFT PBE
data_DyThMgCu
_cell_length_a 5.191
_cell_length_b 5.191
_cell_length_c 5.191
_cell_angle_alpha 60.00
_cell_angle_beta 60.00
_cell_angle_gamma 60.00
_symmetry_space_group_name_H-M 'P 1'
_symmetry_Int_Tables_number 1
loop_
_symmetry_equiv_pos_as_xyz
'x,y,z'
loop_
_atom_site_label
_atom_site_type_symbol
_atom_site_fract_x
_atom_site_fract_y
_atom_site_fract_z
Mg1 Mg 0.750 0.750 0.750
Cu1 Cu 0.250 0.250 0.250
Th1 Th 0.500 0.500 0.500
Dy1 Dy 0.000 0.000 0.000
# * E: -17.55 eV for the cell shown
# * symmetry: No. 216
# * formation energy: 0.04 eV per atom



# 15
# NaLiOsCl6, optimized geometry, DFT PBE
data_NaLiOsCl6
_cell_length_a 6.399
_cell_length_b 6.399
_cell_length_c 12.218
_cell_angle_alpha 90.00
_cell_angle_beta 90.00
_cell_angle_gamma 120.00
_symmetry_space_group_name_H-M 'P 1'
_symmetry_Int_Tables_number 1
loop_
_symmetry_equiv_pos_as_xyz
'x,y,z'
loop_
_atom_site_label
_atom_site_type_symbol
_atom_site_fract_x
_atom_site_fract_y
_atom_site_fract_z
Na1 Na 0.000 0.000 0.000
Na2 Na 0.000 0.000 0.500
Li1 Li 0.333 0.667 0.250
Li2 Li 0.667 0.333 0.750
Os1 Os 0.667 0.333 0.250
Os2 Os 0.333 0.667 0.750
Cl1 Cl 0.651 0.626 0.139
Cl2 Cl 0.975 0.349 0.139
Cl3 Cl 0.349 0.975 0.639
Cl4 Cl 0.025 0.651 0.861
Cl5 Cl 0.374 0.349 0.361
Cl6 Cl 0.975 0.626 0.361
Cl7 Cl 0.626 0.975 0.861
Cl8 Cl 0.651 0.025 0.361
Cl9 Cl 0.025 0.374 0.639
Cl10 Cl 0.374 0.025 0.139
Cl11 Cl 0.626 0.651 0.639
Cl12 Cl 0.349 0.374 0.861
# * uncorrected formation energy: -1017 meV per atom
# * E: -69.39 eV for the cell shown
# * symmetry: No. 163



# 16
# AcErIrRh, optimized geometry, DFT PBE
data_AcErIrRh
_cell_length_a 5.036
_cell_length_b 5.036
_cell_length_c 5.036
_cell_angle_alpha 60.00
_cell_angle_beta 60.00
_cell_angle_gamma 60.00
_symmetry_space_group_name_H-M 'P 1'
_symmetry_Int_Tables_number 1
loop_
_symmetry_equiv_pos_as_xyz
'x,y,z'
loop_
_atom_site_label
_atom_site_type_symbol
_atom_site_fract_x
_atom_site_fract_y
_atom_site_fract_z
Ac1 Ac 0.500 0.500 0.500
Ir1 Ir 0.750 0.750 0.750
Rh1 Rh 0.250 0.250 0.250
Er1 Er 0.000 0.000 0.000
# * E: -27.37 eV for the cell shown
# * symmetry: No. 216
# * formation energy: -0.62 eV per atom



# 17
# Ni2MoPb, optimized geometry, DFT PBE
data_Ni2MoPb
_cell_length_a 4.498
_cell_length_b 4.498
_cell_length_c 5.001
_cell_angle_alpha 78.51
_cell_angle_beta 78.51
_cell_angle_gamma 39.91
_symmetry_space_group_name_H-M 'P 1'
_symmetry_Int_Tables_number 1
loop_
_symmetry_equiv_pos_as_xyz
'x,y,z'
loop_
_atom_site_label
_atom_site_type_symbol
_atom_site_fract_x
_atom_site_fract_y
_atom_site_fract_z
Mo1 Mo 0.263 0.263 0.179
Ni1 Ni 0.002 0.002 0.007
Ni2 Ni 0.741 0.741 0.785
Pb1 Pb 0.495 0.495 0.529
# * E: -24.63 eV for the cell shown
# * symmetry: No. 8
# * formation energy: 0.37 eV per atom



# 18
# Na2CaLa, optimized geometry, DFT PBE
data_Na2CaLa
_cell_length_a 3.628
_cell_length_b 3.628
_cell_length_c 13.743
_cell_angle_alpha 82.42
_cell_angle_beta 82.42
_cell_angle_gamma 60.00
_symmetry_space_group_name_H-M 'P 1'
_symmetry_Int_Tables_number 1
loop_
_symmetry_equiv_pos_as_xyz
'x,y,z'
loop_
_atom_site_label
_atom_site_type_symbol
_atom_site_fract_x
_atom_site_fract_y
_atom_site_fract_z
Na1 Na 0.087 0.087 0.740
Na2 Na 0.913 0.913 0.260
Ca1 Ca 0.500 0.500 0.500
La1 La 0.000 0.000 0.000
# * E: -8.71 eV for the cell shown
# * symmetry: No. 166
# * formation energy: 0.21 eV per atom



# 19
# LaPr12Y2, optimized geometry, DFT PBE
data_LaPr12Y2
_cell_length_a 6.931
_cell_length_b 6.931
_cell_length_c 25.312
_cell_angle_alpha 90.00
_cell_angle_beta 90.00
_cell_angle_gamma 63.35
_symmetry_space_group_name_H-M 'P 1'
_symmetry_Int_Tables_number 1
loop_
_symmetry_equiv_pos_as_xyz
'x,y,z'
loop_
_atom_site_label
_atom_site_type_symbol
_atom_site_fract_x
_atom_site_fract_y
_atom_site_fract_z
La1 La 0.500 0.000 0.006
La2 La 0.000 0.500 0.994
Pr1 Pr 0.500 0.500 0.800
Pr2 Pr 0.000 0.000 0.800
Pr3 Pr 0.756 0.744 0.866
Pr4 Pr 0.262 0.762 0.925
Pr5 Pr 0.000 0.000 0.325
Pr6 Pr 0.238 0.738 0.075
Pr7 Pr 0.775 0.275 0.560
Pr8 Pr 0.500 0.500 0.325
Pr9 Pr 0.244 0.256 0.866
Pr10 Pr 0.744 0.756 0.134
Pr11 Pr 0.270 0.230 0.584
Pr12 Pr 0.725 0.225 0.440
Pr13 Pr 0.000 0.000 0.675
Pr14 Pr 0.230 0.270 0.416
Pr15 Pr 0.256 0.244 0.134
Pr16 Pr 0.770 0.730 0.416
Pr17 Pr 0.730 0.770 0.584
Pr18 Pr 0.000 0.000 0.200
Pr19 Pr 0.225 0.725 0.560
Pr20 Pr 0.500 0.500 0.675
Pr21 Pr 0.738 0.238 0.925
Pr22 Pr 0.500 0.500 0.200
Pr23 Pr 0.275 0.775 0.440
Pr24 Pr 0.762 0.262 0.075
Y1 Y 0.500 0.000 0.272
Y2 Y 0.000 0.500 0.268
Y3 Y 0.000 0.500 0.728
Y4 Y 0.500 0.000 0.732
# * E: -146.14 eV for the cell shown
# * symmetry: No. 67
# * formation energy: 0.14 eV per atom



# 20
# DyYZr2N4, optimized geometry, DFT PBE
data_DyYZr2N4
_cell_length_a 3.346
_cell_length_b 5.788
_cell_length_c 5.850
_cell_angle_alpha 109.32
_cell_angle_beta 90.00
_cell_angle_gamma 90.00
_symmetry_space_group_name_H-M 'P 1'
_symmetry_Int_Tables_number 1
loop_
_symmetry_equiv_pos_as_xyz
'x,y,z'
loop_
_atom_site_label
_atom_site_type_symbol
_atom_site_fract_x
_atom_site_fract_y
_atom_site_fract_z
Dy1 Dy 0.000 0.000 0.000
Y1 Y 0.500 0.500 0.000
Zr1 Zr 0.500 0.000 0.500
Zr2 Zr 0.000 0.500 0.500
N1 N 0.500 0.255 0.267
N2 N 0.500 0.745 0.733
N3 N 0.000 0.244 0.732
N4 N 0.000 0.756 0.268
# * uncorrected formation energy: -1720 meV per atom
# * E: -75.22 eV for the cell shown
# * symmetry: No. 10